No. 1
Sb2AsIr: relaxed, PBE-GGA.

Cell and atoms, written as POSCAR:
```
Sb2AsIr
1.0
3.551 0.000 0.000
0.000 4.158 0.000
0.000 0.000 12.317
Sb As Ir
4 2 2
Cartesian
0.000 0.000 2.112
0.000 0.000 10.205
1.776 2.079 4.047
1.776 2.079 8.270
0.000 2.079 0.000
1.776 0.000 6.159
0.000 2.079 6.159
1.776 0.000 0.000
```

Results
The energy is -5.282 eV per atom. As for the density: 9.32 Mg/m³. The calculation puts the offset from the most stable computed form at 202 meV/atom. The value obtained for the density of states at the Fermi level is 3.2 states/eV/f.u.

=====

No. 2
NiBr: relaxed, PBE-GGA.

Cell and atoms, written as POSCAR:
```
NiBr
1.0
14.129 0.000 0.000
0.000 3.500 0.000
-0.017 0.000 3.366
Ni Br
4 4
Cartesian
0.928 0.000 0.847
6.120 1.750 2.519
7.993 1.750 0.847
13.184 0.000 2.519
1.716 1.750 2.533
5.332 0.000 0.833
8.780 0.000 2.533
12.396 1.750 0.833
```

Results
The energy is -3.537 eV per atom. As for the density: 5.53 Mg/m³. The value obtained for the density of states at the Fermi level is 1.8 states/eV/f.u.

=====

No. 3
BaDySe2: relaxed, PBE-GGA.

Cell and atoms, written as POSCAR:
```
BaDySe2
1.0
4.282 0.000 0.000
-2.141 3.708 0.000
0.000 0.000 22.194
Ba Dy Se
3 3 6
Cartesian
0.000 0.000 0.000
0.000 2.472 14.796
2.141 1.236 7.398
0.000 0.000 11.097
0.000 2.472 3.699
2.141 1.236 18.495
0.000 0.000 5.264
0.000 0.000 16.929
0.000 2.472 9.531
0.000 2.472 20.060
2.141 1.236 2.134
2.141 1.236 12.662
```

Results
The energy is -5.252 eV per atom. As for the density: 6.47 Mg/m³. The calculation puts the offset from the most stable computed form at 0 meV/atom. The value obtained for the density of states at the Fermi level is 1.9 states/eV/f.u.

=====

No. 4
AcSc2O4: relaxed, PBE-GGA.

Cell and atoms, written as POSCAR:
```
AcSc2O4
1.0
-3.354 3.354 4.720
3.354 -3.354 4.720
3.354 3.354 -4.720
Ac Sc O
2 4 8
Cartesian
3.354 1.677 1.180
0.000 1.677 3.540
0.000 0.000 0.000
1.677 1.677 -2.360
1.677 -1.677 2.360
0.000 3.354 0.000
3.354 3.089 -2.540
3.354 -0.265 2.540
1.412 1.677 -0.180
1.942 -1.677 4.541
1.412 5.031 0.180
1.942 1.677 4.900
0.000 3.619 2.181
0.000 0.265 7.260
```

Results
The energy is -8.437 eV per atom. As for the density: 5.96 Mg/m³. The calculation puts the offset from the most stable computed form at 15 meV/atom. The value obtained for the density of states at the Fermi level is 3.8 states/eV/f.u.

=====

No. 5
Tl2SnTe4Au: relaxed, PBE-GGA.

Cell and atoms, written as POSCAR:
```
Tl2SnTe4Au
1.0
8.590 0.000 0.000
0.000 8.590 0.000
0.000 0.000 6.939
Tl Sn Te Au
4 2 8 2
Cartesian
0.000 4.295 0.000
0.000 4.295 3.469
4.295 0.000 0.000
4.295 0.000 3.469
0.000 0.000 0.000
4.295 4.295 3.469
1.578 1.578 1.741
1.578 7.012 5.198
2.717 2.717 5.210
2.717 5.873 1.729
5.873 2.717 1.729
5.873 5.873 5.210
7.012 1.578 5.198
7.012 7.012 1.741
0.000 0.000 3.469
4.295 4.295 0.000
```

Results
The energy is -3.218 eV per atom. As for the density: 8.01 Mg/m³. The value obtained for the density of states at the Fermi level is 5.3 states/eV/f.u.

=====

No. 6
La2ScP: relaxed, PBE-GGA.

Cell and atoms, written as POSCAR:
```
La2ScP
1.0
3.633 0.000 0.000
0.000 3.781 0.000
0.000 0.000 16.805
La Sc P
4 2 2
Cartesian
0.000 0.000 2.780
0.000 0.000 14.025
1.816 1.890 5.622
1.816 1.890 11.183
0.000 1.890 0.000
1.816 0.000 8.402
0.000 1.890 8.402
1.816 0.000 0.000
```

Results
The energy is -5.938 eV per atom. As for the density: 5.09 Mg/m³. The value obtained for the density of states at the Fermi level is 4.9 states/eV/f.u. The calculated formation energy is -0.5387 eV per atom.

=====

No. 7
Tl15Sb4Pb: relaxed, PBE-GGA.

Cell and atoms, written as POSCAR:
```
Tl15Sb4Pb
1.0
4.973 0.000 0.000
0.000 4.973 0.000
0.000 0.000 24.874
Tl Sb Pb
15 4 1
Cartesian
0.000 0.000 0.000
0.000 0.000 5.044
0.000 0.000 9.971
0.000 0.000 14.904
0.000 0.000 19.830
0.000 2.486 2.551
0.000 2.486 7.490
0.000 2.486 12.437
0.000 2.486 17.384
0.000 2.486 22.323
2.486 0.000 2.551
2.486 0.000 7.490
2.486 0.000 12.437
2.486 0.000 17.384
2.486 0.000 22.323
2.486 2.486 4.899
2.486 2.486 9.940
2.486 2.486 14.934
2.486 2.486 19.976
2.486 2.486 0.000
```

Results
The energy is -2.783 eV per atom. As for the density: 10.15 Mg/m³. The value obtained for the density of states at the Fermi level is 11.1 states/eV/f.u.

=====

No. 8
BMoP2Cl: relaxed, PBE-GGA.

Cell and atoms, written as POSCAR:
```
BMoP2Cl
1.0
4.647 0.000 0.000
0.000 4.647 0.000
0.000 0.000 5.011
B Mo P Cl
1 1 2 1
Cartesian
0.000 0.000 0.000
2.324 2.324 2.505
0.000 2.324 2.505
2.324 0.000 2.505
2.324 2.324 0.000
```

Results
The energy is -4.888 eV per atom. As for the density: 3.13 Mg/m³. The calculation puts the offset from the most stable computed form at 168 meV/atom. The value obtained for the density of states at the Fermi level is 3.9 states/eV/f.u.

=====

No. 9
CaPmP2O8: relaxed, PBE-GGA.

Cell and atoms, written as POSCAR:
```
CaPmP2O8
1.0
-3.556 3.556 3.110
3.556 -3.556 3.110
3.556 3.556 -3.110
Ca Pm P O
1 1 2 8
Cartesian
0.000 0.000 0.000
3.556 0.000 1.555
0.000 0.000 3.110
0.000 3.556 1.555
2.324 3.556 -0.944
1.231 0.000 2.166
0.000 2.331 0.601
3.556 2.324 0.944
0.000 4.780 0.601
0.000 1.231 4.054
-1.224 3.556 2.509
1.224 3.556 2.509
```

Results
The energy is -7.463 eV per atom. As for the density: 3.96 Mg/m³. The value obtained for the density of states at the Fermi level is 8.8 states/eV/f.u.

=====

No. 10
Be2ZnSi: relaxed, PBE-GGA.

Cell and atoms, written as POSCAR:
```
Be2ZnSi
1.0
2.468 0.000 0.000
0.000 3.850 0.000
0.000 0.000 10.455
Be Zn Si
4 2 2
Cartesian
0.000 0.000 0.000
0.000 1.925 3.133
1.234 0.000 8.361
1.234 1.925 5.228
0.000 0.000 4.875
1.234 1.925 10.103
0.000 1.925 7.337
1.234 0.000 2.110
```

Results
The energy is -3.240 eV per atom. As for the density: 3.73 Mg/m³. The calculation puts the offset from the most stable computed form at 24 meV/atom. The value obtained for the density of states at the Fermi level is 0.8 states/eV/f.u.

=====

No. 11
RbIrN3: relaxed, PBE-GGA.

Cell and atoms, written as POSCAR:
```
RbIrN3
1.0
4.154 0.000 0.000
0.000 4.154 0.000
0.000 0.000 4.154
Rb Ir N
1 1 3
Cartesian
0.000 0.000 0.000
2.077 2.077 2.077
0.000 0.000 2.077
0.000 2.077 0.000
2.077 0.000 0.000
```

Results
The energy is -2.894 eV per atom. As for the density: 7.41 Mg/m³. The value obtained for the density of states at the Fermi level is 4.7 states/eV/f.u.

=====

No. 12
CsZn3H: relaxed, PBE-GGA.

Cell and atoms, written as POSCAR:
```
CsZn3H
1.0
5.107 0.000 0.000
0.000 5.107 0.000
0.000 0.000 5.107
Cs Zn H
1 3 1
Cartesian
0.000 0.000 0.000
0.000 2.553 2.553
2.553 0.000 2.553
2.553 2.553 0.000
2.553 2.553 2.553
```

Results
The energy is -1.060 eV per atom. As for the density: 4.12 Mg/m³. The calculation puts the offset from the most stable computed form at 0 meV/atom. The value obtained for the density of states at the Fermi level is 1.4 states/eV/f.u.

=====

- What is the energy in the eighth record?
  -4.888 eV per atom